The following is a PBE-GGA calculation of Ce2MnIn after structural relaxation, from Alexandria via LeMat-Bulk.

Energy relative to the lowest polymorph listed for this composition = 0.000 eV/atom
Raw total energy = -6.076 eV/atom
Volume = 391 Å³ per cell
Total magnetization = 0.00 μB/f.u.

a = 8.7606 Å, b = 6.2508 Å, c = 7.1413 Å
α = 90.00°, β = 90.54°, γ = 90.00°
Last column: nearest neighbours and their distance in Å.
Atoms (fractional coordinates):
Ce 0.0682 0.1228 0.2926  1 Mn 2.20
Ce 0.0682 0.3772 0.7926  1 Mn 2.20
Ce 0.3164 0.6744 0.1982  1 Mn 2.20
Ce 0.3164 0.8256 0.6982  1 Mn 2.20
Ce 0.6836 0.1744 0.3018  1 Mn 2.20
Ce 0.6836 0.3256 0.8018  1 Mn 2.20
Ce 0.9318 0.6228 0.2074  1 Mn 2.20
Ce 0.9318 0.8772 0.7074  1 Mn 2.20
Mn 0.1313 0.6214 0.3981  2 Ce 2.20
Mn 0.1313 0.8786 0.8981  2 Ce 2.20
Mn 0.8687 0.1214 0.1019  2 Ce 2.20
Mn 0.8687 0.3786 0.6019  2 Ce 2.20
In 0.3678 0.1892 0.0210  1 Mn 2.97, 5 Ce 3.27-3.32
In 0.3678 0.3108 0.5210  1 Mn 2.97, 5 Ce 3.27-3.32
In 0.6322 0.6892 0.4790  1 Mn 2.97, 5 Ce 3.27-3.32
In 0.6322 0.8108 0.9790  1 Mn 2.97, 5 Ce 3.27-3.32